a:
8
Lattice="6.130 0.000 0.000 0.000 6.130 0.000 0.000 0.000 6.127" Properties=species:S:1:pos:R:3 comment="CaW | Alexandria via LeMat-Bulk | PBE-GGA | optimized geometry" volume_a3_per_cell=230 total_magnetization_mub_per_fu=0.00 pbc="T T T"
Ca 1.092 1.092 0.000
Ca 1.973 4.157 3.063
Ca 4.157 1.973 3.063
Ca 5.038 5.038 0.000
W 0.790 0.790 3.063
W 2.274 3.855 0.000
W 3.855 2.274 0.000
W 5.339 5.339 3.063

b:
2
Lattice="0.000 3.073 3.073 3.073 0.000 3.073 3.073 3.073 0.000" Properties=species:S:1:pos:R:3 comment="CaW | Alexandria via LeMat-Bulk | PBE-GGA | optimized geometry" volume_a3_per_cell=58 total_magnetization_mub_per_fu=3.89 pbc="T T T"
Ca 0.000 0.000 0.000
W 3.073 3.073 3.073

c:
4
Lattice="-1.746 2.726 5.076 1.746 -2.726 5.076 1.746 2.726 -5.076" Properties=species:S:1:pos:R:3 comment="CaW | Alexandria via LeMat-Bulk | PBE-GGA | optimized geometry" volume_a3_per_cell=97 total_magnetization_mub_per_fu=0.00 pbc="T T T"
Ca 0.000 1.363 1.087
Ca 1.746 1.363 3.989
W 1.746 1.363 -1.693
W 0.000 1.363 6.769

c ends up most stable, edging out the next structure by 908 meV per atom.

a:
4
Lattice="5.292 0.000 0.000 -2.646 4.583 0.000 0.000 0.000 6.009" Properties=species:S:1:pos:R:3 comment="CaW | Alexandria via LeMat-Bulk | PBE-GGA | optimized geometry" volume_a3_per_cell=146 total_magnetization_mub_per_fu=3.68 pbc="T T T"
Ca 0.000 3.056 1.502
Ca 2.646 1.528 4.507
W 0.000 3.056 4.507
W 2.646 1.528 1.502

b:
8
Lattice="0.000 4.492 7.386 2.902 0.000 7.386 2.902 4.492 0.000" Properties=species:S:1:pos:R:3 comment="CaW | Alexandria via LeMat-Bulk | PBE-GGA | optimized geometry" volume_a3_per_cell=193 total_magnetization_mub_per_fu=0.00 pbc="T T T"
Ca 2.177 0.358 5.540
Ca 3.628 2.604 9.233
Ca 2.177 6.380 5.540
Ca 3.628 8.627 9.233
W 2.177 3.369 4.377
W 2.177 3.369 6.703
W 3.628 5.615 8.070
W 3.628 5.615 10.396

c:
4
Lattice="1.667 0.963 10.379 -1.667 0.963 10.379 0.000 -1.925 10.379" Properties=species:S:1:pos:R:3 comment="CaW | Alexandria via LeMat-Bulk | PBE-GGA | optimized geometry" volume_a3_per_cell=100 total_magnetization_mub_per_fu=0.00 pbc="T T T"
Ca 0.000 0.000 3.482
Ca 0.000 0.000 27.657
W 0.000 0.000 11.210
W 0.000 0.000 19.928

c ends up most stable, edging out the next structure by 217 meV per atom.

a:
6
Lattice="-1.565 2.723 8.515 1.565 -2.723 8.515 1.565 2.723 -8.515" Properties=species:S:1:pos:R:3 comment="CaW | Alexandria via LeMat-Bulk | PBE-GGA | optimized geometry" volume_a3_per_cell=145 total_magnetization_mub_per_fu=0.00 pbc="T T T"
Ca 0.000 0.000 0.000
Ca 1.565 0.000 3.239
Ca 0.000 2.723 5.276
W 1.565 0.000 6.486
W 0.000 0.000 8.515
W 0.000 2.723 2.029

b:
4
Lattice="2.197 1.268 6.516 -2.197 1.268 6.516 0.000 -2.537 6.516" Properties=species:S:1:pos:R:3 comment="CaW | Alexandria via LeMat-Bulk | PBE-GGA | optimized geometry" volume_a3_per_cell=109 total_magnetization_mub_per_fu=0.00 pbc="T T T"
Ca 0.000 0.000 1.969
Ca 0.000 0.000 17.580
W 0.000 0.000 6.509
W 0.000 0.000 13.040

b ends up most stable, edging out the next structure by 141 meV per atom.

a:
6
Lattice="5.990 -1.794 0.000 5.990 1.794 0.000 -2.832 0.000 8.160" Properties=species:S:1:pos:R:3 comment="Ca2W | Alexandria via LeMat-Bulk | PBE-GGA | optimized geometry" volume_a3_per_cell=175 total_magnetization_mub_per_fu=0.00 pbc="T T T"
Ca -0.385 0.000 1.612
Ca 2.892 0.000 2.970
Ca 6.256 0.000 5.190
Ca 9.532 0.000 6.548
W 0.922 0.000 7.793
W 8.225 0.000 0.367

b:
3
Lattice="-1.521 1.521 8.214 1.521 -1.521 8.214 1.521 1.521 -8.214" Properties=species:S:1:pos:R:3 comment="Ca2W | Alexandria via LeMat-Bulk | PBE-GGA | optimized geometry" volume_a3_per_cell=76 total_magnetization_mub_per_fu=0.00 pbc="T T T"
Ca 0.000 0.000 2.373
Ca 0.000 0.000 14.055
W 0.000 0.000 8.214

a ends up most stable, edging out the next structure by 354 meV per atom.

a:
3
Lattice="5.394 0.000 0.000 -2.697 4.671 0.000 0.000 0.000 2.797" Properties=species:S:1:pos:R:3 comment="Ca2W | Alexandria via LeMat-Bulk | PBE-GGA | optimized geometry" volume_a3_per_cell=70 total_magnetization_mub_per_fu=0.00 pbc="T T T"
Ca 0.000 3.114 0.000
Ca 2.697 1.557 0.000
W 0.000 0.000 1.398

b:
6
Lattice="0.000 4.184 4.184 4.184 0.000 4.184 4.184 4.184 0.000" Properties=species:S:1:pos:R:3 comment="Ca2W | Alexandria via LeMat-Bulk | PBE-GGA | optimized geometry" volume_a3_per_cell=146 total_magnetization_mub_per_fu=0.21 pbc="T T T"
Ca 0.000 0.000 0.000
Ca 2.092 2.092 0.000
Ca 2.092 0.000 2.092
Ca 0.000 2.092 2.092
W 3.138 3.138 3.138
W 5.230 5.230 5.230

c:
6
Lattice="5.360 0.000 0.000 -2.680 4.642 0.000 0.000 0.000 6.595" Properties=species:S:1:pos:R:3 comment="Ca2W | Alexandria via LeMat-Bulk | PBE-GGA | optimized geometry" volume_a3_per_cell=164 total_magnetization_mub_per_fu=2.58 pbc="T T T"
Ca 0.000 0.000 0.000
Ca 0.000 0.000 3.297
Ca 0.000 3.095 1.649
Ca 2.680 1.547 4.946
W 0.000 3.095 4.946
W 2.680 1.547 1.649

d:
12
Lattice="7.348 0.000 0.000 0.000 7.348 0.000 0.000 0.000 7.348" Properties=species:S:1:pos:R:3 comment="Ca2W | Alexandria via LeMat-Bulk | PBE-GGA | optimized geometry" volume_a3_per_cell=397 total_magnetization_mub_per_fu=3.22 pbc="T T T"
Ca 1.121 1.121 1.121
Ca 1.121 2.553 4.795
Ca 2.553 4.795 1.121
Ca 2.553 6.227 4.795
Ca 4.795 1.121 2.553
Ca 4.795 2.553 6.227
Ca 6.227 4.795 2.553
Ca 6.227 6.227 6.227
W 0.000 0.000 3.674
W 0.000 3.674 0.000
W 3.674 0.000 0.000
W 3.674 3.674 3.674

a ends up most stable, edging out the next structure by 306 meV per atom.

a:
6
Lattice="7.989 -1.617 0.000 7.989 1.617 0.000 -2.008 0.000 6.696" Properties=species:S:1:pos:R:3 comment="Ca2W | Alexandria via LeMat-Bulk | PBE-GGA | optimized geometry" volume_a3_per_cell=173 total_magnetization_mub_per_fu=0.00 pbc="T T T"
Ca 1.642 0.000 0.479
Ca 1.348 0.000 4.102
Ca 12.623 0.000 2.594
Ca 12.329 0.000 6.217
W 6.622 0.000 4.473
W 7.348 0.000 2.223

b:
6
Lattice="6.207 -1.830 0.000 6.207 1.830 0.000 -2.915 0.000 7.764" Properties=species:S:1:pos:R:3 comment="Ca2W | Alexandria via LeMat-Bulk | PBE-GGA | optimized geometry" volume_a3_per_cell=176 total_magnetization_mub_per_fu=0.00 pbc="T T T"
Ca 0.000 0.000 0.000
Ca -1.438 0.000 3.882
Ca 3.152 0.000 1.564
Ca 6.347 0.000 6.222
W 2.116 0.000 4.624
W 7.429 0.000 3.196

b ends up most stable, edging out the next structure by 94 meV per atom.

a:
3
Lattice="-1.453 2.532 4.953 1.453 -2.532 4.953 1.453 2.532 -4.953" Properties=species:S:1:pos:R:3 comment="Ca2W | Alexandria via LeMat-Bulk | PBE-GGA | optimized geometry" volume_a3_per_cell=73 total_magnetization_mub_per_fu=0.00 pbc="T T T"
Ca 0.000 0.000 1.571
Ca 0.000 0.000 8.334
W 0.000 0.000 4.953

b:
6
Lattice="1.682 -14.908 0.000 1.682 14.908 0.000 0.000 0.000 3.792" Properties=species:S:1:pos:R:3 comment="Ca2W | Alexandria via LeMat-Bulk | PBE-GGA | optimized geometry" volume_a3_per_cell=190 total_magnetization_mub_per_fu=0.00 pbc="T T T"
Ca 1.682 13.313 2.844
Ca 1.682 4.695 2.844
Ca 1.682 -4.695 0.948
Ca 1.682 -13.313 0.948
W 1.682 7.150 0.948
W 1.682 -7.150 2.844

b ends up most stable, edging out the next structure by 446 meV per atom.

a:
6
Lattice="7.684 0.000 0.000 0.000 7.856 0.000 0.000 0.000 2.980" Properties=species:S:1:pos:R:3 comment="Ca2W | Alexandria via LeMat-Bulk | PBE-GGA | optimized geometry" volume_a3_per_cell=180 total_magnetization_mub_per_fu=0.86 pbc="T T T"
Ca 1.632 1.482 0.000
Ca 2.210 5.410 1.490
Ca 5.474 2.446 1.490
Ca 6.052 6.374 0.000
W 0.000 3.928 0.000
W 3.842 0.000 1.490

b:
6
Lattice="7.951 -3.017 0.000 7.951 3.017 0.000 0.000 0.000 3.972" Properties=species:S:1:pos:R:3 comment="Ca2W | Alexandria via LeMat-Bulk | PBE-GGA | optimized geometry" volume_a3_per_cell=191 total_magnetization_mub_per_fu=0.00 pbc="T T T"
Ca 5.700 1.528 2.979
Ca 10.201 1.528 2.979
Ca 5.700 -1.528 0.993
Ca 10.201 -1.528 0.993
W 7.951 2.240 0.993
W 7.951 -2.240 2.979

b ends up most stable, edging out the next structure by 556 meV per atom.